1.
First-principles (PBE-GGA) data for crystalline Nd2Ta2O9 at its relaxed geometry, as listed in the Alexandria database.

```
data_Nd2Ta2O9
_cell_length_a 15.573
_cell_length_b 3.897
_cell_length_c 6.701
_cell_angle_alpha 90.00
_cell_angle_beta 111.82
_cell_angle_gamma 90.00
_symmetry_space_group_name_H-M 'C 1 2/m 1'
_symmetry_Int_Tables_number 12
_symmetry_space_group_name_Hall '-C 2y'
loop_
_atom_site_label
_atom_site_type_symbol
_atom_site_fract_x
_atom_site_fract_y
_atom_site_fract_z
_atom_site_occupancy
Nd1 Nd 0.194 0.000 0.187 1
Ta1 Ta 0.040 0.500 0.806 1
O1 O 0.000 0.500 0.500 1
O2 O 0.050 0.000 0.843 1
O3 O 0.080 0.500 0.158 1
O4 O 0.177 0.500 0.919 1
O5 O 0.220 0.000 0.564 1
```

Computed properties:
Formation energy from raw total energies: -2777 meV/atom
Final energy: -227.929 eV per cell
Magnetization: 0.1554 μB per atom



2.
First-principles (PBE-GGA) data for crystalline Na2MgAsO4 at its relaxed geometry, as listed in the Alexandria database.

```
data_Na2MgAsO4
_cell_length_a 5.252
_cell_length_b 5.252
_cell_length_c 8.441
_cell_angle_alpha 90.00
_cell_angle_beta 90.00
_cell_angle_gamma 90.00
_symmetry_space_group_name_H-M 'I -4'
_symmetry_Int_Tables_number 82
_symmetry_space_group_name_Hall 'I -4'
loop_
_atom_site_label
_atom_site_type_symbol
_atom_site_fract_x
_atom_site_fract_y
_atom_site_fract_z
_atom_site_occupancy
Na1 Na 0.000 0.000 0.000 1
Na2 Na 0.000 0.500 0.250 1
Mg1 Mg 0.000 0.000 0.500 1
As1 As 0.000 0.500 0.750 1
O1 O 0.177 0.266 0.630 1
```

Computed properties:
Formation energy from raw total energies: -1691 meV/atom
Final energy: -84.491 eV per cell
Magnetization: 0.0000 μB per atom



3.
First-principles (PBE-GGA) data for crystalline Li4Sn2Ge at its relaxed geometry, as listed in the Alexandria database.

```
data_Li4Sn2Ge
_cell_length_a 4.816
_cell_length_b 18.582
_cell_length_c 3.146
_cell_angle_alpha 90.00
_cell_angle_beta 90.00
_cell_angle_gamma 90.00
_symmetry_space_group_name_H-M 'C m m m'
_symmetry_Int_Tables_number 65
_symmetry_space_group_name_Hall '-C 2 2'
loop_
_atom_site_label
_atom_site_type_symbol
_atom_site_fract_x
_atom_site_fract_y
_atom_site_fract_z
_atom_site_occupancy
Li1 Li 0.000 0.072 0.000 1
Li2 Li 0.000 0.383 0.500 1
Sn1 Sn 0.000 0.205 0.500 1
Ge1 Ge 0.000 0.500 0.000 1
```

Computed properties:
Energy relative to the elements: -229 meV/atom
Final energy: -43.761 eV per cell
Magnetization: 0.0000 μB per atom



4.
First-principles (PBE-GGA) data for crystalline AlGa2S at its relaxed geometry, as listed in the Alexandria database.

```
data_AlGa2S
_cell_length_a 3.3069
_cell_length_b 3.3069
_cell_length_c 26.3855
_cell_angle_alpha 90.00
_cell_angle_beta 90.00
_cell_angle_gamma 120.00
_symmetry_space_group_name_H-M 'R -3 m'
_symmetry_Int_Tables_number 166
_symmetry_space_group_name_Hall '-R 3 2"'
loop_
_atom_site_label
_atom_site_type_symbol
_atom_site_fract_x
_atom_site_fract_y
_atom_site_fract_z
_atom_site_occupancy
Al1 Al 0.0000 0.0000 0.0000 1
Ga1 Ga 0.0000 0.0000 0.1026 1
S1 S 0.0000 0.0000 0.5000 1
```

Computed properties:
Formation energy from raw total energies: 36 meV/atom
Final energy: -41.339 eV per cell
Magnetization: 0.0000 μB per atom



5.
First-principles (PBE-GGA) data for crystalline SiP2SCl at its relaxed geometry, as listed in the Alexandria database.

```
data_SiP2SCl
_cell_length_a 4.642
_cell_length_b 4.642
_cell_length_c 4.416
_cell_angle_alpha 90.00
_cell_angle_beta 90.00
_cell_angle_gamma 90.00
_symmetry_space_group_name_H-M 'P 4/m m m'
_symmetry_Int_Tables_number 123
_symmetry_space_group_name_Hall '-P 4 2'
loop_
_atom_site_label
_atom_site_type_symbol
_atom_site_fract_x
_atom_site_fract_y
_atom_site_fract_z
_atom_site_occupancy
Si1 Si 0.000 0.000 0.000 1
P1 P 0.000 0.500 0.000 1
S1 S 0.000 0.000 0.500 1
Cl1 Cl 0.500 0.500 0.500 1
```

Computed properties:
Formation energy from raw total energies: 688 meV/atom
Final energy: -18.777 eV per cell
Magnetization: 0.0000 μB per atom



6.
First-principles (PBE-GGA) data for crystalline Fe2HgRh at its relaxed geometry, as listed in the Alexandria database.

```
data_Fe2HgRh
_cell_length_a 3.897
_cell_length_b 3.897
_cell_length_c 7.822
_cell_angle_alpha 90.00
_cell_angle_beta 90.00
_cell_angle_gamma 90.00
_symmetry_space_group_name_H-M 'I 4/m m m'
_symmetry_Int_Tables_number 139
_symmetry_space_group_name_Hall '-I 4 2'
loop_
_atom_site_label
_atom_site_type_symbol
_atom_site_fract_x
_atom_site_fract_y
_atom_site_fract_z
_atom_site_occupancy
Fe1 Fe 0.000 0.500 0.250 1
Hg1 Hg 0.000 0.000 0.000 1
Rh1 Rh 0.000 0.000 0.500 1
```

Computed properties:
Energy relative to the elements: 233 meV/atom
Final energy: -47.296 eV per cell
Magnetization: 1.6243 μB per atom



7.
First-principles (PBE-GGA) data for crystalline B5C7 at its relaxed geometry, as listed in the Alexandria database.

```
data_B5C7
_cell_length_a 12.546
_cell_length_b 2.584
_cell_length_c 5.225
_cell_angle_alpha 90.00
_cell_angle_beta 90.07
_cell_angle_gamma 90.00
_symmetry_space_group_name_H-M 'C 1 m 1'
_symmetry_Int_Tables_number 8
_symmetry_space_group_name_Hall 'C -2y'
loop_
_atom_site_label
_atom_site_type_symbol
_atom_site_fract_x
_atom_site_fract_y
_atom_site_fract_z
_atom_site_occupancy
B1 B 0.000 0.000 0.000 1
B2 B 0.000 0.000 0.463 1
B3 B 0.155 0.500 0.732 1
B4 B 0.300 0.000 0.465 1
B5 B 0.300 0.000 0.999 1
C1 C 0.067 0.000 0.732 1
C2 C 0.090 0.000 0.232 1
C3 C 0.156 0.500 0.232 1
C4 C 0.230 0.500 0.477 1
C5 C 0.230 0.500 0.987 1
C6 C 0.418 0.000 0.081 1
C7 C 0.418 0.000 0.382 1
```

Computed properties:
Energy relative to the elements: 416 meV/atom
Final energy: -185.923 eV per cell
Magnetization: 0.0000 μB per atom



8.
First-principles (PBE-GGA) data for crystalline LiDy3Se4 at its relaxed geometry, as listed in the Alexandria database.

```
data_LiDy3Se4
_cell_length_a 9.276
_cell_length_b 8.354
_cell_length_c 5.704
_cell_angle_alpha 90.00
_cell_angle_beta 90.00
_cell_angle_gamma 90.00
_symmetry_space_group_name_H-M 'P m n 21'
_symmetry_Int_Tables_number 31
_symmetry_space_group_name_Hall 'P 2ac -2'
loop_
_atom_site_label
_atom_site_type_symbol
_atom_site_fract_x
_atom_site_fract_y
_atom_site_fract_z
_atom_site_occupancy
Li1 Li 0.000 0.114 0.000 1
Dy1 Dy 0.000 0.769 0.497 1
Dy2 Dy 0.219 0.341 0.497 1
Se1 Se 0.000 0.106 0.497 1
Se2 Se 0.000 0.792 0.997 1
Se3 Se 0.209 0.331 0.997 1
```

Computed properties:
Formation energy from raw total energies: -1570 meV/atom
Final energy: -84.435 eV per cell
Magnetization: 0.0827 μB per atom



9.
First-principles (PBE-GGA) data for crystalline GeTeOs3 at its relaxed geometry, as listed in the Alexandria database.

```
data_GeTeOs3
_cell_length_a 4.585
_cell_length_b 4.585
_cell_length_c 4.585
_cell_angle_alpha 90.00
_cell_angle_beta 90.00
_cell_angle_gamma 90.00
_symmetry_space_group_name_H-M 'P m -3 m'
_symmetry_Int_Tables_number 221
_symmetry_space_group_name_Hall '-P 4 2 3'
loop_
_atom_site_label
_atom_site_type_symbol
_atom_site_fract_x
_atom_site_fract_y
_atom_site_fract_z
_atom_site_occupancy
Ge1 Ge 0.000 0.000 0.000 1
Te1 Te 0.500 0.500 0.500 1
Os1 Os 0.000 0.000 0.500 1
```

Computed properties:
Formation energy from raw total energies: 1691 meV/atom
Final energy: -32.994 eV per cell
Magnetization: 0.0000 μB per atom



10.
First-principles (PBE-GGA) data for crystalline AgPSO2 at its relaxed geometry, as listed in the Alexandria database.

```
data_AgPSO2
_cell_length_a 3.595
_cell_length_b 3.595
_cell_length_c 4.911
_cell_angle_alpha 90.00
_cell_angle_beta 90.00
_cell_angle_gamma 90.00
_symmetry_space_group_name_H-M 'P 4/m m m'
_symmetry_Int_Tables_number 123
_symmetry_space_group_name_Hall '-P 4 2'
loop_
_atom_site_label
_atom_site_type_symbol
_atom_site_fract_x
_atom_site_fract_y
_atom_site_fract_z
_atom_site_occupancy
Ag1 Ag 0.000 0.000 0.000 1
P1 P 0.500 0.500 0.000 1
S1 S 0.500 0.500 0.500 1
O1 O 0.000 0.500 0.500 1
```

Computed properties:
Formation energy from raw total energies: 222 meV/atom
Final energy: -21.194 eV per cell
Magnetization: 0.0000 μB per atom



11.
First-principles (PBE-GGA) data for crystalline Ac2PmSmTe5 at its relaxed geometry, as listed in the Alexandria database.

```
data_Ac2PmSmTe5
_cell_length_a 5.606
_cell_length_b 5.606
_cell_length_c 11.830
_cell_angle_alpha 90.00
_cell_angle_beta 90.00
_cell_angle_gamma 90.00
_symmetry_space_group_name_H-M 'P 4/m m m'
_symmetry_Int_Tables_number 123
_symmetry_space_group_name_Hall '-P 4 2'
loop_
_atom_site_label
_atom_site_type_symbol
_atom_site_fract_x
_atom_site_fract_y
_atom_site_fract_z
_atom_site_occupancy
Ac1 Ac 0.000 0.000 0.194 1
Pm1 Pm 0.500 0.500 0.500 1
Sm1 Sm 0.500 0.500 0.000 1
Te1 Te 0.000 0.000 0.500 1
Te2 Te 0.000 0.500 0.000 1
Te3 Te 0.500 0.500 0.254 1
```

Computed properties:
Formation energy from raw total energies: -962 meV/atom
Final energy: -42.053 eV per cell
Magnetization: 0.0001 μB per atom



12.
First-principles (PBE-GGA) data for crystalline NiSb2Pb at its relaxed geometry, as listed in the Alexandria database.

```
data_NiSb2Pb
_cell_length_a 6.232
_cell_length_b 6.232
_cell_length_c 12.649
_cell_angle_alpha 90.00
_cell_angle_beta 90.00
_cell_angle_gamma 90.00
_symmetry_space_group_name_H-M 'I -4 2 d'
_symmetry_Int_Tables_number 122
_symmetry_space_group_name_Hall 'I -4 2bw'
loop_
_atom_site_label
_atom_site_type_symbol
_atom_site_fract_x
_atom_site_fract_y
_atom_site_fract_z
_atom_site_occupancy
Ni1 Ni 0.000 0.000 0.000 1
Sb1 Sb 0.171 0.250 0.125 1
Pb1 Pb 0.000 0.000 0.500 1
```

Computed properties:
Formation energy from raw total energies: 89 meV/atom
Final energy: -69.512 eV per cell
Magnetization: 0.0000 μB per atom